No. 1
PuSi3H12 | Alexandria | GGA-PBE | relaxed; calculated total energy = -4.36 eV per atom; crystal system = trigonal; size of the total moment = 6.00 μB per formula unit
1.0
6.0734 0.0000 2.9328
2.3286 5.6093 2.9328
-0.6760 -0.4513 9.1548
H Pu Si
24 2 6
Cartesian
6.3312 1.7202 6.8445
4.9612 1.4203 4.5900
4.1349 1.2868 7.1079
3.0672 2.1691 11.7995
2.3862 0.0907 10.8006
3.2568 3.9993 9.4118
1.7027 1.4745 7.8474
2.7256 3.2093 7.0471
3.4079 4.5048 4.8343
4.7483 1.0072 9.1674
6.5537 4.0375 6.2027
6.7434 3.1210 9.0682
5.5506 2.1575 11.4219
4.2892 5.1878 6.9763
7.7183 5.0315 10.1549
4.3083 0.2953 11.6853
1.7987 3.8658 11.6245
5.5376 5.1994 9.1560
4.8554 3.3255 8.1130
0.3940 0.1790 9.7576
0.9289 2.0012 10.7128
4.2255 4.5513 11.5537
2.6814 1.9723 5.1633
6.7127 4.2992 12.6735
0.0730 0.0487 7.6039
4.6120 3.0790 5.9593
1.7558 2.1260 6.4051
7.1757 3.8368 4.7605
4.5044 5.1562 3.8959
4.2788 4.7622 8.4733
5.0606 2.1832 3.2060
5.4911 0.8065 7.7834

***

No. 2
PuSiH | Alexandria | GGA-PBE | relaxed; calculated total energy = -7.92 eV per atom; crystal system = orthorhombic; size of the total moment = 5.64 μB per formula unit
1.0
-3.7362 -0.0818 0.1184
-0.1281 -2.2151 -5.5693
0.2636 -7.6468 3.0354
Si Pu H
4 4 4
Cartesian
-0.0030 -2.8499 -2.0626
-1.8423 -2.2004 -0.6182
-1.7405 -6.7351 -0.5384
0.0905 -7.1437 -2.0784
0.1100 -4.5266 0.3456
-1.9603 -1.9622 -4.1756
-1.8577 -4.9579 -3.0096
0.2135 -7.5063 1.5516
-0.0661 -1.4126 -3.0590
-1.7866 -5.0052 -0.7992
-0.0972 -2.7913 -4.9928
-1.7192 -4.6794 1.5526

***

No. 3
Pu2SiH2 | Alexandria | GGA-PBE | relaxed; calculated total energy = -8.44 eV per atom; crystal system = orthorhombic; size of the total moment = 11.10 μB per formula unit
1.0
2.9043 0.0000 0.0000
0.0000 3.3882 0.6420
0.0000 0.3830 7.2406
H Si Pu
2 1 2
Cartesian
0.0000 2.8441 3.5133
0.0000 0.9270 4.3693
0.0000 0.0000 0.0000
1.4521 1.3224 2.2828
1.4521 2.4488 5.5998

***

No. 4
PuSiH | Alexandria | GGA-PBE | relaxed; calculated total energy = -8.05 eV per atom; crystal system = monoclinic; size of the total moment = 5.49 μB per formula unit
1.0
3.8921 -0.0138 0.4330
1.9325 3.3785 0.4330
1.1364 0.6564 7.4353
Si H Pu
2 2 2
Cartesian
2.5331 1.4633 3.7947
4.4278 2.5578 4.5066
2.1982 1.2698 6.8056
4.7627 2.7512 1.4957
0.7995 0.4619 1.6433
6.1614 3.5592 6.6580

***

No. 5
Pu6Si2H | Alexandria | GGA-PBE | relaxed; calculated total energy = -11.26 eV per atom; crystal system = orthorhombic; size of the total moment = 10.81 μB per formula unit
1.0
4.7911 0.0000 0.0015
0.0000 8.1012 0.0000
-0.0028 0.0000 9.0808
H Pu Si
2 12 4
Cartesian
2.3956 4.0506 0.0007
-0.0014 0.0000 4.5404
4.7887 7.9223 7.7613
4.7906 2.6757 1.0464
2.3946 6.7262 3.4962
2.3937 1.3749 5.5861
-0.0023 5.4255 8.0358
2.3938 3.8717 5.8621
-0.0014 6.0362 5.0404
2.3928 1.9856 8.5815
2.3945 4.2294 3.2202
4.7897 2.0649 4.0419
2.3955 6.1155 0.5007
-0.0003 0.1789 1.3210
4.7888 2.6206 6.9755
2.3947 1.4299 2.4343
2.3937 6.6712 6.6480
-0.0005 5.4805 2.1068

***

No. 6
Pu6Si3H2 | Alexandria | GGA-PBE | relaxed; calculated total energy = -9.61 eV per atom; crystal system = tetragonal; size of the total moment = 0.01 μB per formula unit
1.0
-0.6686 2.8963 1.8959
1.3081 -1.5764 2.8695
11.5956 3.9783 -5.2664
Si Pu H
3 6 2
Cartesian
8.1848 3.7216 0.4792
0.0000 0.0000 0.0000
4.0503 1.5767 -0.9802
1.6692 2.2280 0.4631
10.5659 3.0702 -0.9641
6.4741 2.5202 -1.5668
9.5775 5.3065 -1.4509
5.7610 2.7781 1.0658
2.6575 -0.0083 0.9499
3.5984 1.9362 1.5892
8.6367 3.3620 -2.0902

***

- Which value of calculated total energy does entry 1 give?
  -4.36 eV per atom

***

- What is the calculated total energy in the fifth record?
  -11.26 eV per atom